(1)
Below is NdZrSb2 after structural relaxation, with properties calculated at the PBE level.

Calculated density: 6.9 g/cm³
Density of states at the Fermi level: 0.975 states/eV per atom
Total magnetic moment: 0.0 μB per cell
Space-group type: R3m (160)
Uncorrected formation energy: -0.81 eV/atom

abc: 4.2274 4.2274 7.8741
angles: 74.43 74.43 60.00
With the nearest neighbours (Å) after each atom.
Fractional coordinates of all 4 atoms:
Nd 0.6700 0.6700 0.9899  6 Sb 3.12-3.22
Zr 0.4974 0.4974 0.5077  6 Sb 2.96-3.02
Sb 0.0896 0.0896 0.7312  3 Zr 2.96, 3 Nd 3.12
Sb 0.2429 0.2429 0.2713  3 Zr 3.02, 3 Nd 3.22


(2)
Below is NbV9Sn2 after structural relaxation, with properties calculated at the PBE level.

Calculated density: 7.0 g/cm³
Density of states at the Fermi level: 1.380 states/eV per atom
Total magnetic moment: 0.0 μB per cell
Space-group type: R-3m (166)
Formation energy from the elements: 2.0 eV per formula unit

abc: 5.2263 5.2263 8.4845
angles: 72.06 72.06 60.00
With the nearest neighbours (Å) after each atom.
Fractional coordinates of all 12 atoms:
Nb 0.0000 0.0000 0.0000  18 V 3.02-3.28, 2 Sn 3.26
V 0.6669 0.6669 0.9992  6 V 2.48-2.50
V 0.3331 0.3331 0.0008  6 V 2.48-2.50
V 0.5000 0.5000 0.5000  6 V 2.50
V 0.4156 0.4156 0.2500  7 V 2.48-2.63
V 0.9189 0.4156 0.2500  7 V 2.48-2.63
V 0.4156 0.9189 0.2500  7 V 2.48-2.63
V 0.5844 0.5844 0.7500  7 V 2.48-2.63
V 0.5844 0.0811 0.7500  7 V 2.48-2.63
V 0.0811 0.5844 0.7500  7 V 2.48-2.63
Sn 0.8631 0.8631 0.4108  12 V 2.91-3.10
Sn 0.1369 0.1369 0.5892  12 V 2.91-3.10


(3)
Below is CaThIr after structural relaxation, with properties calculated at the PBE level.

Calculated density: 8.6 g/cm³
Density of states at the Fermi level: 0.896 states/eV per atom
Total magnetic moment: 0.0 μB per cell
Space-group type: P2_1/c (14)
Formation energy from the elements: -1.9 eV per formula unit

abc: 4.1447 7.8238 14.8093
angles: 131.71 90.00 90.00
With the nearest neighbours (Å) after each atom.
Fractional coordinates of all 12 atoms:
Ca 0.2506 0.9719 0.8781  1 Ir 3.03
Ca 0.7506 0.5281 0.1219  1 Ir 3.03
Ca 0.7494 0.0281 0.1219  1 Ir 3.03
Ca 0.2494 0.4719 0.8781  1 Ir 3.03
Th 0.7500 0.4224 0.6395  4 Ir 2.88
Th 0.2500 0.0776 0.3605  4 Ir 2.88
Th 0.2500 0.5776 0.3605  4 Ir 2.88
Th 0.7500 0.9224 0.6395  4 Ir 2.88
Ir 0.7500 0.3721 0.3958  4 Th 2.88, 1 Ca 3.03, 2 Ir 3.10
Ir 0.2500 0.1279 0.6042  4 Th 2.88, 1 Ca 3.03, 2 Ir 3.10
Ir 0.2500 0.6279 0.6042  4 Th 2.88, 1 Ca 3.03, 2 Ir 3.10
Ir 0.7500 0.8721 0.3958  4 Th 2.88, 1 Ca 3.03, 2 Ir 3.10


(4)
Below is TlSN2F after structural relaxation, with properties calculated at the PBE level.

Calculated density: 4.3 g/cm³
Density of states at the Fermi level: 0.564 states/eV per atom
Total magnetic moment: 6.0 μB per cell
Space-group type: P4/mmm (123)
Uncorrected formation energy: 1.88 eV/atom

abc: 4.4993 4.4993 5.4221
angles: 90.00 90.00 90.00
With the nearest neighbours (Å) after each atom.
Fractional coordinates of all 5 atoms:
Tl 0.0000 0.0000 0.0000  4 N 2.25
N 0.0000 0.5000 0.0000  2 Tl 2.25
N 0.5000 0.0000 0.0000  2 Tl 2.25
S 0.0000 0.0000 0.5000  2 Tl 2.71
F 0.5000 0.5000 0.5000  4 S 3.18, 8 N 3.52